Compound: Na2SrHgF6
Source: Alexandria
Functional: GGA-PBE
Structure: relaxed

It has space group P2_1/c (No. 14), with a = 6.0957 Å, b = 6.1270 Å, c = 10.6085 Å, α = 90.00°, β = 124.21° and γ = 90.00°. The inequivalent atoms are Na at (0.2370, 0.0407, 0.2293), Sr at (0.5000, 0.0000, 0.0000), Hg at (0.0000, 0.0000, 0.5000), F at (0.1027, 0.1708, 0.9490), F at (0.2218, 0.6735, 0.9047) and F at (0.3949, 0.1055, 0.7512).

The total magnetization is 0.00 μB per cell. The calculation puts the formation energy without anion corrections at -2.658 eV/atom.